This record from Alexandria describes Sr2MgZnNi after structural relaxation. The functional is PBE.

Output
As for the space group: P4/mmm, No. 123. The calculation puts the formation energy from the elements at 0.012 eV per atom.

Cell lengths 5.6966, 5.6966, 4.7433 Å; angles 90.00, 90.00, 90.00 degrees
Element x y z (fractional)
Mg1 0.5000 0.5000 0.5000
Sr1 0.0000 0.5000 0.0000
Ni1 0.0000 0.0000 0.0000
Sr2 0.5000 0.0000 0.0000
Zn1 0.0000 0.0000 0.5000